No. 1
Density functional theory data (GGA-PBE) for crystalline BaNaB2 at its relaxed geometry.

Values from the calculation:
space-group type: Fm-3m, No. 225
polymorph energy (0 for the lowest one): 14.4 kJ/mol of atoms

Unit cell a=4.922 b=4.922 c=4.922 alpha=60.00 beta=60.00 gamma=60.00
Atoms (fractional coordinates):
Na  0.000  0.000  0.000
B  0.250  0.250  0.250
B  0.750  0.750  0.750
Ba  0.500  0.500  0.500

***

No. 2
Density functional theory data (GGA-PBE) for crystalline Pr6Tm5Sc at its relaxed geometry.

Values from the calculation:
calculated total energy: -4.7521 eV per atom
space-group type: Immm, No. 71

Unit cell a=5.137 b=9.847 c=9.498 alpha=121.23 beta=105.71 gamma=90.00
Atoms (fractional coordinates):
Pr  0.166  0.918  0.332
Pr  0.166  0.414  0.332
Tm  0.666  0.666  0.331
Sc  0.000  0.000  0.000
Tm  0.666  0.166  0.333
Pr  0.834  0.082  0.668
Pr  0.500  0.245  0.000
Tm  0.334  0.834  0.667
Pr  0.500  0.755  0.000
Tm  0.334  0.334  0.669
Pr  0.834  0.586  0.668
Tm  0.000  0.500  0.000

***

No. 3
Density functional theory data (GGA-PBE) for crystalline CsLiThCl6 at its relaxed geometry.

Values from the calculation:
space-group type: P-31c, No. 163
energy relative to the elements, uncorrected: -2.09 eV per atom

Unit cell a=6.980 b=6.980 c=15.604 alpha=90.00 beta=90.00 gamma=120.00
Atoms (fractional coordinates):
Cs  0.000  0.000  0.500
Th  0.333  0.667  0.750
Cl  0.379  0.374  0.848
Li  0.333  0.667  0.250
Cl  0.621  0.626  0.152
Cl  0.626  0.005  0.848
Th  0.667  0.333  0.250
Cl  0.379  0.005  0.652
Cl  0.626  0.621  0.652
Cl  0.374  0.995  0.152
Cl  0.995  0.621  0.848
Cl  0.621  0.995  0.348
Cl  0.005  0.626  0.348
Li  0.667  0.333  0.750
Cl  0.374  0.379  0.348
Cl  0.995  0.374  0.652
Cs  0.000  0.000  0.000
Cl  0.005  0.379  0.152

***

No. 4
Density functional theory data (GGA-PBE) for crystalline Os2RuAu at its relaxed geometry.

Values from the calculation:
space-group type: R3m, No. 160
polymorph energy (0 for the lowest one): 0.0 kJ/mol of atoms

Unit cell a=9.330 b=9.330 c=9.330 alpha=17.00 beta=17.00 gamma=17.00
Atoms (fractional coordinates):
Au  0.750  0.750  0.750
Os  0.250  0.250  0.250
Ru  0.506  0.506  0.506
Os  0.994  0.994  0.994

***

No. 5
Density functional theory data (GGA-PBE) for crystalline Tb6TmIn5 at its relaxed geometry.

Values from the calculation:
space-group type: Immm, No. 71
polymorph energy (0 for the lowest one): 0.0 kJ/mol of atoms

Unit cell a=4.965 b=8.869 c=9.059 alpha=119.31 beta=105.91 gamma=90.00
Atoms (fractional coordinates):
In  0.325  0.325  0.650
In  0.652  0.152  0.303
Tb  0.500  0.269  0.000
In  0.675  0.675  0.350
Tb  0.830  0.092  0.660
Tm  0.000  0.000  0.000
Tb  0.500  0.731  0.000
In  0.348  0.848  0.697
Tb  0.170  0.432  0.340
Tb  0.830  0.568  0.660
Tb  0.170  0.908  0.340
In  0.000  0.500  0.000

***

No. 6
Density functional theory data (GGA-PBE) for crystalline CsNa at its relaxed geometry.

Values from the calculation:
calculated total energy: -0.9776 eV per atom
space-group type: Fm-3m, No. 225

Unit cell a=6.171 b=6.171 c=6.171 alpha=60.00 beta=60.00 gamma=60.00
Atoms (fractional coordinates):
Na  0.000  0.000  0.000
Cs  0.500  0.500  0.500

***

No. 7
Density functional theory data (GGA-PBE) for crystalline GeOs2Rh at its relaxed geometry.

Values from the calculation:
calculated total energy: -7.4122 eV per atom
space-group type: I-42d, No. 122

Unit cell a=5.603 b=5.603 c=6.739 alpha=65.44 beta=65.44 gamma=90.00
Atoms (fractional coordinates):
Ge  0.250  0.750  0.500
Os  0.632  0.125  0.250
Os  0.118  0.625  0.250
Os  0.875  0.882  0.750
Ge  0.500  0.500  0.000
Rh  0.000  0.000  0.000
Rh  0.750  0.250  0.500
Os  0.375  0.368  0.750

***

No. 8
Density functional theory data (GGA-PBE) for crystalline Tb2Y2Tc at its relaxed geometry.

Values from the calculation:
calculated total energy: -6.5066 eV per atom
space-group type: C2/m, No. 12

Unit cell a=7.471 b=7.078 c=7.694 alpha=73.64 beta=57.75 gamma=58.15
Atoms (fractional coordinates):
Tb  0.430  0.550  0.748
Tb  0.980  0.450  0.748
Y  0.352  0.000  0.409
Tc  0.128  0.743  0.500
Tb  0.020  0.550  0.252
Y  0.648  0.000  0.591
Tb  0.570  0.450  0.252
Tc  0.872  0.257  0.500
Y  0.830  0.000  0.896
Y  0.170  0.000  0.104

***

no.,total moment (μB per formula unit),density of states at the Fermi level (states/eV/f.u.)
1,0.00,3.7
2,0.00,16.1
3,0.00,0.0
4,0.00,2.4
5,0.00,12.1
6,0.00,1.5
7,0.00,3.9
8,0.00,5.2